Entry from Alexandria: a crystal of RbScTcN2 relaxed with PBEsol (SCAN).

The space group is P4/mmm (No. 123) and the conventional cell measures 4.3694, 4.3694 and 4.8509 Å, with angles of 90.00, 90.00 and 90.00 degrees. The inequivalent atoms are Rb at (0.0000, 0.0000, 0.0000), Sc at (0.5000, 0.5000, 0.5000), Tc at (0.0000, 0.0000, 0.5000) and N at (0.0000, 0.5000, 0.0000).

The calculation puts the size of the total moment at 4.269 μB per formula unit. As for the energy relative to the elements, uncorrected: 2848 meV/atom. The density of states at the Fermi level comes out at 0.579 states/eV per atom.

Entry from Alexandria: a crystal of RbScTeN2 relaxed with PBEsol (SCAN).

The space group is P4/mmm (No. 123) and the conventional cell measures 4.5438, 4.5438 and 5.5876 Å, with angles of 90.00, 90.00 and 90.00 degrees. The inequivalent atoms are Rb at (0.0000, 0.0000, 0.0000), Sc at (0.5000, 0.5000, 0.5000), Te at (0.5000, 0.5000, 0.0000) and N at (0.0000, 0.5000, 0.5000).

The calculation puts the size of the total moment at 4.005 μB per formula unit. As for the energy relative to the elements, uncorrected: 172 meV/atom. The density of states at the Fermi level comes out at 0.274 states/eV per atom.

Entry from Alexandria: a crystal of RbScTeN2 relaxed with PBEsol (SCAN).

The space group is P4/mmm (No. 123) and the conventional cell measures 4.7268, 4.7268 and 6.5531 Å, with angles of 90.00, 90.00 and 90.00 degrees. The inequivalent atoms are Rb at (0.0000, 0.0000, 0.0000), Sc at (0.5000, 0.5000, 0.5000), Te at (0.0000, 0.0000, 0.5000) and N at (0.0000, 0.5000, 0.0000).

The calculation puts the size of the total moment at 3.999 μB per formula unit. As for the energy relative to the elements, uncorrected: 1651 meV/atom. The density of states at the Fermi level comes out at 0.392 states/eV per atom.

Entry from Alexandria: a crystal of RbScTe2N relaxed with PBEsol (SCAN).

The space group is P4/mmm (No. 123) and the conventional cell measures 5.9826, 5.9826 and 3.9458 Å, with angles of 90.00, 90.00 and 90.00 degrees. The inequivalent atoms are Rb at (0.0000, 0.0000, 0.0000), Sc at (0.5000, 0.5000, 0.5000), Te at (0.0000, 0.5000, 0.5000) and N at (0.5000, 0.5000, 0.0000).

The calculation puts the size of the total moment at 1.609 μB per formula unit. As for the energy relative to the elements, uncorrected: -387 meV/atom. The density of states at the Fermi level comes out at 0.821 states/eV per atom.

Entry from Alexandria: a crystal of Rb3SeN relaxed with PBEsol (SCAN).

The space group is Pm-3m (No. 221) and the conventional cell measures 6.4480, 6.4480 and 6.4480 Å, with angles of 90.00, 90.00 and 90.00 degrees. The inequivalent atoms are Rb at (0.0000, 0.0000, 0.5000), Se at (0.0000, 0.0000, 0.0000) and N at (0.5000, 0.5000, 0.5000).

The calculation puts the size of the total moment at 1.999 μB per formula unit. As for the energy relative to the elements, uncorrected: 127 meV/atom. The density of states at the Fermi level comes out at 0.955 states/eV per atom.

Entry from Alexandria: a crystal of RbSe3N relaxed with PBEsol (SCAN).

The space group is Pm-3m (No. 221) and the conventional cell measures 4.6085, 4.6085 and 4.6085 Å, with angles of 90.00, 90.00 and 90.00 degrees. The inequivalent atoms are Rb at (0.0000, 0.0000, 0.0000), Se at (0.0000, 0.5000, 0.5000) and N at (0.5000, 0.5000, 0.5000).

The calculation puts the size of the total moment at 0.000 μB per formula unit. As for the energy relative to the elements, uncorrected: 530 meV/atom. The density of states at the Fermi level comes out at 0.679 states/eV per atom.

Which value of energy relative to the elements, uncorrected does entry 4 give? -387 meV/atom

Among the records above, which one has the lowest size of the total moment? RbSe3N

Among the records above, which one has the lowest size of the total moment? RbSe3N

Which of these has the lowest energy relative to the elements, uncorrected? RbScTe2N